Compound: CdW4O12
Source: the Alexandria database
Functional: PBE+U
Structure: relaxed

Spin magnetization in μB/atom: 0.114
Space group: Immm, No. 71
Total energy in eV/atom: -7.0995

Cell and atoms, written as POSCAR:
```
CdW4O12
1.0
6.3033 0.0031 -2.2841
-3.1226 5.4921 -2.2439
-0.0106 -0.0031 6.7043
O W Cd
12 4 1
direct
0.9559 0.2250 0.7309
0.4941 0.2250 0.2691
0.0441 0.7750 0.2691
0.7208 0.9532 0.2324
0.2101 0.7177 0.9278
0.7899 0.7177 0.5076
0.2792 0.0468 0.7675
0.5059 0.7750 0.7309
0.2792 0.5117 0.2324
0.7208 0.4883 0.7676
0.2101 0.2823 0.4924
0.7899 0.2823 0.0722
0.5000 0.5000 0.5000
0.0000 0.0000 0.5000
0.0000 0.5000 0.0000
0.5000 0.0000 0.0000
0.0000 0.5000 0.5000
```